Entry 1:
A plane-wave DFT calculation with PBE was carried out for a relaxed structure of Pu3Se3S.

Results
raw formation energy	-1.31	eV/atom
uncorrected energy	-0.3503	hartree per atom
SG	C2/m, No. 12
crystal system	monoclinic

The structure in POSCAR format:
```
Pu3Se3S
1.0
4.1394 -6.3810 0.0000
4.1394 6.3810 0.0000
-0.3056 0.0000 7.2241
Pu Se S
6 6 2
direct
0.0414 0.0414 0.2556 Pu
0.1197 0.4615 0.7541 Pu
0.4615 0.1197 0.7541 Pu
0.5385 0.8803 0.2459 Pu
0.8803 0.5385 0.2459 Pu
0.9586 0.9586 0.7444 Pu
0.1975 0.8025 0.0000 Se
0.2113 0.7887 0.5000 Se
0.2990 0.2990 0.0121 Se
0.7010 0.7010 0.9879 Se
0.7887 0.2113 0.5000 Se
0.8025 0.1975 0.0000 Se
0.2723 0.2723 0.5335 S
0.7277 0.7277 0.4665 S
```



Entry 2:
A plane-wave DFT calculation with PBE was carried out for a relaxed structure of Pu4SeS6.

Results
raw formation energy	-1.43	eV/atom
uncorrected energy	-0.3386	hartree per atom
SG	P-6m2, No. 187
crystal system	hexagonal

The structure in POSCAR format:
```
Pu4SeS6
1.0
8.3716 0.0000 0.0000
-4.1858 7.2500 0.0000
0.0000 0.0000 3.8491
Pu Se S
4 1 6
direct
0.0000 0.0000 0.0000 Pu
0.0099 0.5049 0.5000 Pu
0.4951 0.5049 0.5000 Pu
0.4951 0.9901 0.5000 Pu
0.6667 0.3333 0.0000 Se
0.2083 0.4165 0.0000 S
0.2083 0.7917 0.0000 S
0.2690 0.1345 0.5000 S
0.5835 0.7917 0.0000 S
0.8655 0.1345 0.5000 S
0.8655 0.7310 0.5000 S
```



Entry 3:
A plane-wave DFT calculation with PBE was carried out for a relaxed structure of Pu2Se2S.

Results
polymorph energy (0 for the lowest one)	0	meV/atom
raw formation energy	-1.52	eV/atom
uncorrected energy	-0.3481	hartree per atom
SG	Immm, No. 71
crystal system	orthorhombic

The structure in POSCAR format:
```
Pu2Se2S
1.0
-2.0179 2.8348 6.2681
2.0179 -2.8348 6.2681
2.0179 2.8348 -6.2681
Pu Se S
2 2 1
direct
0.1530 0.1530 0.0000 Pu
0.8470 0.8470 0.0000 Pu
0.3162 0.8162 0.5000 Se
0.6838 0.1838 0.5000 Se
0.0000 0.5000 0.5000 S
```



Entry 4:
A plane-wave DFT calculation with PBE was carried out for a relaxed structure of SrPuSeS.

Results
raw formation energy	-1.80	eV/atom
uncorrected energy	-0.2833	hartree per atom
SG	R3m, No. 160
crystal system	trigonal

The structure in POSCAR format:
```
SrPuSeS
1.0
2.0970 1.2107 6.9603
-2.0970 1.2107 6.9603
0.0000 -2.4214 6.9603
Sr Pu Se S
1 1 1 1
direct
0.0000 0.0000 0.0000 Sr
0.5076 0.5076 0.5076 Pu
0.7588 0.7588 0.7588 Se
0.2475 0.2475 0.2475 S
```



Entry 5:
A plane-wave DFT calculation with PBE was carried out for a relaxed structure of TbPuSe2S.

Results
raw formation energy	-1.58	eV/atom
uncorrected energy	-0.2791	hartree per atom
SG	P4/nmm, No. 129
crystal system	tetragonal

The structure in POSCAR format:
```
TbPuSe2S
1.0
4.1551 0.0000 0.0000
0.0000 4.1551 0.0000
0.0000 0.0000 14.6133
Tb Pu Se S
2 2 4 2
direct
0.2500 0.2500 0.1112 Tb
0.7500 0.7500 0.8888 Tb
0.2500 0.2500 0.6184 Pu
0.7500 0.7500 0.3816 Pu
0.2500 0.2500 0.2983 Se
0.2500 0.2500 0.9051 Se
0.7500 0.7500 0.0949 Se
0.7500 0.7500 0.7017 Se
0.2500 0.7500 0.5000 S
0.7500 0.2500 0.5000 S
```



Entry 6:
A plane-wave DFT calculation with PBE was carried out for a relaxed structure of Pu6Te3SeS2.

Results
raw formation energy	-1.36	eV/atom
uncorrected energy	-0.3782	hartree per atom
SG	C2/m, No. 12
crystal system	monoclinic

The structure in POSCAR format:
```
Pu6Te3SeS2
1.0
3.6568 -6.3382 0.0000
3.6568 6.3382 0.0000
-2.4434 0.0000 6.9516
Pu Te Se S
6 3 1 2
direct
0.0840 0.4267 0.7805 Pu
0.2288 0.2288 0.2157 Pu
0.4267 0.0840 0.7805 Pu
0.5733 0.9160 0.2195 Pu
0.7712 0.7712 0.7843 Pu
0.9160 0.5733 0.2195 Pu
0.0000 0.0000 0.5000 Te
0.3372 0.6628 0.5000 Te
0.6628 0.3372 0.5000 Te
0.5000 0.5000 0.0000 Se
0.1676 0.8324 0.0000 S
0.8324 0.1676 0.0000 S
```



Entry 7:
A plane-wave DFT calculation with PBE was carried out for a relaxed structure of Pu8Te4Se3S.

Results
raw formation energy	-1.32	eV/atom
uncorrected energy	-0.3742	hartree per atom
SG	R-3m, No. 166
crystal system	trigonal

The structure in POSCAR format:
```
Pu8Te4Se3S
1.0
4.2752 2.4683 7.0007
-4.2752 2.4683 7.0007
0.0000 -4.9365 7.0007
Pu Te Se S
8 4 3 1
direct
0.2426 0.2426 0.2426 Pu
0.2485 0.7371 0.7371 Pu
0.2629 0.2629 0.7515 Pu
0.2629 0.7515 0.2629 Pu
0.7371 0.2485 0.7371 Pu
0.7371 0.7371 0.2485 Pu
0.7515 0.2629 0.2629 Pu
0.7574 0.7574 0.7574 Pu
0.0000 0.0000 0.0000 Te
0.0000 0.5000 0.5000 Te
0.5000 0.0000 0.5000 Te
0.5000 0.5000 0.0000 Te
0.0000 0.0000 0.5000 Se
0.0000 0.5000 0.0000 Se
0.5000 0.0000 0.0000 Se
0.5000 0.5000 0.5000 S
```



Entry 8:
A plane-wave DFT calculation with PBE was carried out for a relaxed structure of PuThSeS.

Results
raw formation energy	-1.69	eV/atom
uncorrected energy	-0.3319	hartree per atom
SG	R3m, No. 160
crystal system	trigonal

The structure in POSCAR format:
```
PuThSeS
1.0
2.0221 1.1675 6.7809
-2.0221 1.1675 6.7809
0.0000 -2.3349 6.7809
Pu Th Se S
1 1 1 1
direct
0.0000 0.0000 0.0000 Pu
0.5126 0.5126 0.5126 Th
0.7534 0.7534 0.7534 Se
0.2608 0.2608 0.2608 S
```



Entry 9:
A plane-wave DFT calculation with PBE was carried out for a relaxed structure of TmPu2Se2S2.

Results
raw formation energy	-1.45	eV/atom
uncorrected energy	-0.3071	hartree per atom
SG	I4/mmm, No. 139
crystal system	tetragonal

The structure in POSCAR format:
```
TmPu2Se2S2
1.0
-2.5153 2.5153 7.4016
2.5153 -2.5153 7.4016
2.5153 2.5153 -7.4016
Tm Pu Se S
1 2 2 2
direct
0.0000 0.0000 0.0000 Tm
0.3760 0.3760 0.0000 Pu
0.6240 0.6240 0.0000 Pu
0.1855 0.1855 0.0000 Se
0.8145 0.8145 0.0000 Se
0.0000 0.5000 0.5000 S
0.5000 0.0000 0.5000 S
```



Entry 10:
A plane-wave DFT calculation with PBE was carried out for a relaxed structure of TmPuSeS.

Results
raw formation energy	-1.76	eV/atom
uncorrected energy	-0.3072	hartree per atom
SG	R3m, No. 160
crystal system	trigonal

The structure in POSCAR format:
```
TmPuSeS
1.0
1.9750 1.1402 6.6547
-1.9750 1.1402 6.6547
0.0000 -2.2805 6.6547
Tm Pu Se S
1 1 1 1
direct
0.0000 0.0000 0.0000 Tm
0.5119 0.5119 0.5119 Pu
0.7522 0.7522 0.7522 Se
0.2593 0.2593 0.2593 S
```



Entry 11:
A plane-wave DFT calculation with PBE was carried out for a relaxed structure of PuUSeS2.

Results
raw formation energy	-1.07	eV/atom
uncorrected energy	-0.3140	hartree per atom
SG	I4mm, No. 107
crystal system	tetragonal

The structure in POSCAR format:
```
PuUSeS2
1.0
-2.1166 2.1166 6.0218
2.1166 -2.1166 6.0218
2.1166 2.1166 -6.0218
Pu U Se S
1 1 1 2
direct
0.0000 0.0000 0.0000 Pu
0.2137 0.2137 0.0000 U
0.6044 0.6044 0.0000 Se
0.3516 0.8516 0.5000 S
0.8516 0.3516 0.5000 S
```



Entry 12:
A plane-wave DFT calculation with PBE was carried out for a relaxed structure of YPuSeS2.

Results
raw formation energy	-1.38	eV/atom
uncorrected energy	-0.2900	hartree per atom
SG	Cmcm, No. 63
crystal system	orthorhombic

The structure in POSCAR format:
```
YPuSeS2
1.0
3.0732 -6.7344 0.0000
3.0732 6.7344 0.0000
0.0000 0.0000 6.0917
Y Pu Se S
2 2 2 4
direct
0.1155 0.8845 0.7500 Y
0.8845 0.1155 0.2500 Y
0.3822 0.6178 0.7500 Pu
0.6178 0.3822 0.2500 Pu
0.2507 0.7493 0.2500 Se
0.7493 0.2507 0.7500 Se
0.2504 0.2504 0.0000 S
0.2504 0.2504 0.5000 S
0.7496 0.7496 0.0000 S
0.7496 0.7496 0.5000 S
```



no.,DOS at the Fermi energy (states/eV per atom)
1,4.130
2,3.435
3,3.444
4,2.124
5,1.940
6,4.519
7,4.713
8,1.600
9,3.491
10,1.849
11,1.919
12,1.970